(P)
Compound: Pr3Y7Sc
Source: Alexandria
Functional: PBE
Structure: relaxed

```
Pr3Y7Sc
1.0
6.377 -0.051 0.351
0.334 7.656 0.991
-0.098 -0.050 7.726
Pr Y Sc
3 7 1
Direct
0.000 0.827 0.173
0.500 0.000 0.000
0.000 0.173 0.827
0.786 0.244 0.244
0.733 0.901 0.568
0.267 0.432 0.099
0.733 0.568 0.901
0.000 0.500 0.500
0.267 0.099 0.432
0.214 0.756 0.756
0.500 0.500 0.500
```

Values from the calculation:
V   34.36 Å³ per atom
M_tot   0.00 μB/atom

=====

(Q)
Compound: Pr3Y7Sc
Source: Alexandria
Functional: PBE
Structure: relaxed

```
Pr3Y7Sc
1.0
8.674 0.000 0.000
0.000 7.097 0.000
0.000 -3.548 6.146
Pr Y Sc
3 7 1
Direct
0.780 0.499 0.501
0.780 0.499 0.998
0.780 0.002 0.501
0.124 0.168 0.832
0.124 0.168 0.337
0.121 0.667 0.333
0.447 0.833 0.167
0.447 0.335 0.167
0.447 0.833 0.665
0.124 0.663 0.832
0.443 0.333 0.667
```

Values from the calculation:
V   34.39 Å³ per atom
M_tot   0.00 μB/atom

=====

List of relative energies, unit kJ/mol of atoms: (P) 7.3; (Q) 0.0